## a
SrLi2Hg6 | PBE-GGA | optimized geometry

Results
- M_tot (μB/f.u.) = 0.00
- space group = P-31m

a b c (Å): 5.553 5.553 10.125
angles (deg): 90.00 90.00 120.00
Fractional positions:
Li1 0.333 0.667 0.500
Li2 0.667 0.333 0.500
Hg1 0.000 0.663 0.279
Hg2 0.337 0.000 0.721
Hg3 0.337 0.337 0.279
Hg4 0.663 0.663 0.721
Hg5 0.663 0.000 0.279
Hg6 0.000 0.337 0.721
Sr1 0.000 0.000 0.000

## b
SrLi2Hg6 | PBE-GGA | optimized geometry

Results
- M_tot (μB/f.u.) = 0.00
- space group = P6/mmm

a b c (Å): 3.467 8.711 8.711
angles (deg): 120.00 90.00 90.00
Fractional positions:
Hg1 0.500 0.000 0.339
Hg2 0.500 0.339 0.000
Hg3 0.500 0.000 0.661
Hg4 0.500 0.339 0.339
Hg5 0.500 0.661 0.000
Hg6 0.500 0.661 0.661
Sr1 0.000 0.000 0.000
Li1 0.000 0.667 0.333
Li2 0.000 0.333 0.667

Energy relative to the most stable one, in meV/atom: a 112; b 0